A relaxed SnBi2O crystal. Source: Alexandria via LeMat-Bulk, functional GGA-PBE.

Lattice parameters (Å, degrees): 5.0830 5.0830 5.0830 60.00 60.00 60.00
Sites, in units of the cell vectors:
Bi: 0.2500 0.2500 0.2500
Bi: 0.7500 0.7500 0.7500
O: 0.0000 0.0000 0.0000
Sn: 0.5000 0.5000 0.5000

Calculated values
space-group type = Fm-3m, No. 225
volume = 23.22 A^3/atom
energy above the lowest structure with this stoichiometry = 403.4 meV/atom

=====

A relaxed Sn6Bi4O19 crystal. Source: Alexandria via LeMat-Bulk, functional GGA-PBE.

Lattice parameters (Å, degrees): 8.2017 8.2017 8.2017 109.47 109.47 109.47
Site moments in Bohr magnetons follow the coordinates.
Sites, in units of the cell vectors:
Sn: 0.3324 0.5000 0.8324  0.00
Sn: 0.6676 0.5000 0.1676  0.00
Sn: 0.1676 0.6676 0.5000  0.00
Sn: 0.8324 0.3324 0.5000  0.00
Sn: 0.5000 0.8324 0.3324  0.00
Sn: 0.5000 0.1676 0.6676  0.00
Bi: 0.0000 0.0000 0.6982  0.03
Bi: 0.0000 0.6982 0.0000  0.03
Bi: 0.3018 0.3018 0.3018  0.03
Bi: 0.6982 0.0000 0.0000  0.03
O: 0.6463 0.0000 0.6463  0.11
O: 0.3537 0.0000 0.3537  0.11
O: 0.3537 0.3537 0.0000  0.11
O: 0.6463 0.6463 0.0000  0.11
O: 0.0000 0.6463 0.6463  0.11
O: 0.0000 0.3537 0.3537  0.11
O: 0.0000 0.0000 0.0000  0.32
O: 0.3750 0.3375 0.6077  0.06
O: 0.6250 0.2327 0.9624  0.06
O: 0.7298 0.7673 0.3923  0.06
O: 0.9624 0.6250 0.2327  0.06
O: 0.2702 0.6625 0.0376  0.06
O: 0.6077 0.3750 0.3375  0.06
O: 0.0376 0.2702 0.6625  0.06
O: 0.3923 0.7298 0.7673  0.06
O: 0.6625 0.0376 0.2702  0.06
O: 0.2327 0.9624 0.6250  0.06
O: 0.3375 0.6077 0.3750  0.06
O: 0.7673 0.3923 0.7298  0.06

Calculated values
space-group type = I23, No. 197
volume = 14.65 A^3/atom

=====

A relaxed Sn5Bi3O12 crystal. Source: Alexandria via LeMat-Bulk, functional GGA-PBE.

Lattice parameters (Å, degrees): 11.7611 11.7611 11.7611 109.47 109.47 109.47
Sites, in units of the cell vectors:
Bi: 0.7500 0.3750 0.1250
Bi: 0.8750 0.7500 0.1250
Bi: 0.3750 0.7500 0.6250
Bi: 0.2500 0.1250 0.3750
Bi: 0.8750 0.1250 0.2500
Bi: 0.3750 0.6250 0.2500
Bi: 0.6250 0.3750 0.7500
Bi: 0.1250 0.8750 0.7500
Bi: 0.7500 0.8750 0.6250
Bi: 0.6250 0.2500 0.3750
Bi: 0.1250 0.2500 0.8750
Bi: 0.2500 0.6250 0.8750
Sn: 0.1250 0.3750 0.2500
Sn: 0.0000 0.5000 0.0000
Sn: 0.0000 0.0000 0.0000
Sn: 0.3750 0.2500 0.1250
Sn: 0.5000 0.0000 0.5000
Sn: 0.5000 0.5000 0.0000
Sn: 0.1250 0.7500 0.3750
Sn: 0.7500 0.1250 0.8750
Sn: 0.7500 0.6250 0.3750
Sn: 0.3750 0.1250 0.7500
Sn: 0.6250 0.8750 0.2500
Sn: 0.5000 0.5000 0.5000
Sn: 0.5000 0.0000 0.0000
Sn: 0.0000 0.0000 0.5000
Sn: 0.2500 0.3750 0.6250
Sn: 0.2500 0.8750 0.1250
Sn: 0.0000 0.5000 0.5000
Sn: 0.8750 0.2500 0.6250
Sn: 0.6250 0.7500 0.8750
Sn: 0.8750 0.6250 0.7500
O: 0.7040 0.1209 0.0366
O: 0.3326 0.5366 0.4157
O: 0.9634 0.3791 0.2960
O: 0.5366 0.2040 0.1209
O: 0.5831 0.7040 0.6674
O: 0.9634 0.5843 0.1674
O: 0.3326 0.7960 0.4169
O: 0.0843 0.9169 0.1209
O: 0.5843 0.9634 0.6674
O: 0.7040 0.5831 0.1674
O: 0.7960 0.4634 0.3791
O: 0.8326 0.9157 0.0366
O: 0.1209 0.7040 0.5366
O: 0.3791 0.4157 0.0831
O: 0.0831 0.9157 0.3791
O: 0.4169 0.1209 0.5843
O: 0.0831 0.1674 0.2040
O: 0.4634 0.6674 0.0843
O: 0.8326 0.9169 0.2960
O: 0.1209 0.4169 0.0843
O: 0.3791 0.9634 0.7960
O: 0.5843 0.6209 0.4169
O: 0.9157 0.8326 0.5366
O: 0.7960 0.3326 0.9169
O: 0.4157 0.3791 0.5831
O: 0.0843 0.1674 0.4634
O: 0.2040 0.6674 0.0831
O: 0.1674 0.0831 0.7040
O: 0.6209 0.0366 0.2040
O: 0.8791 0.5831 0.9157
O: 0.5366 0.3326 0.9157
O: 0.5831 0.8791 0.4157
O: 0.9169 0.8326 0.7960
O: 0.9169 0.0843 0.6209
O: 0.8791 0.2960 0.4634
O: 0.1674 0.0843 0.9634
O: 0.6209 0.5843 0.9169
O: 0.4157 0.0366 0.3326
O: 0.2960 0.4169 0.8326
O: 0.2040 0.5366 0.6209
O: 0.9157 0.0831 0.8791
O: 0.6674 0.2040 0.5831
O: 0.4634 0.7960 0.8791
O: 0.0366 0.4157 0.8326
O: 0.4169 0.2960 0.3326
O: 0.0366 0.6209 0.7040
O: 0.6674 0.4634 0.5843
O: 0.2960 0.8791 0.9634

Calculated values
space-group type = Ia-3d, No. 230
volume = 15.65 A^3/atom

=====

A relaxed Sn2Bi2O7 crystal. Source: Alexandria via LeMat-Bulk, functional GGA-PBE.

Lattice parameters (Å, degrees): 7.5938 7.5938 7.5938 60.00 60.00 60.00
Sites, in units of the cell vectors:
Sn: 0.6250 0.6250 0.1250
Sn: 0.6250 0.1250 0.6250
Sn: 0.1250 0.6250 0.6250
Sn: 0.6250 0.6250 0.6250
Bi: 0.1250 0.1250 0.6250
Bi: 0.1250 0.6250 0.1250
Bi: 0.6250 0.1250 0.1250
Bi: 0.1250 0.1250 0.1250
O: 0.0000 0.0000 0.0000
O: 0.2500 0.2500 0.2500
O: 0.9574 0.5426 0.9574
O: 0.7074 0.2926 0.7074
O: 0.9574 0.9574 0.5426
O: 0.5426 0.9574 0.9574
O: 0.9574 0.5426 0.5426
O: 0.5426 0.5426 0.9574
O: 0.5426 0.9574 0.5426
O: 0.2926 0.7074 0.7074
O: 0.7074 0.2926 0.2926
O: 0.2926 0.7074 0.2926
O: 0.7074 0.7074 0.2926
O: 0.2926 0.2926 0.7074

Calculated values
space-group type = Fd-3m, No. 227
volume = 14.07 A^3/atom

=====

A relaxed SnBi2O2 crystal. Source: Alexandria via LeMat-Bulk, functional GGA-PBE.

Lattice parameters (Å, degrees): 8.7982 8.7982 3.3486 90.00 90.00 90.00
Sites, in units of the cell vectors:
Bi: 0.2711 0.7711 0.0000
Bi: 0.7711 0.7289 0.0000
Bi: 0.7289 0.2289 0.0000
Bi: 0.2289 0.2711 0.0000
O: 0.1607 0.6607 0.5000
O: 0.6607 0.8393 0.5000
O: 0.8393 0.3393 0.5000
O: 0.3393 0.1607 0.5000
Sn: 0.0000 0.0000 0.0000
Sn: 0.5000 0.5000 0.0000

Calculated values
space-group type = P4/mbm, No. 127
volume = 25.92 A^3/atom
energy above the lowest structure with this stoichiometry = 191.8 meV/atom

=====

A relaxed SnBi6O12 crystal. Source: Alexandria via LeMat-Bulk, functional GGA-PBE.

Lattice parameters (Å, degrees): 6.7423 6.7423 6.7423 99.30 99.30 99.30
Sites, in units of the cell vectors:
Sn: 0.0000 0.0000 0.0000
Bi: 0.1368 0.2950 0.5968
Bi: 0.7050 0.4032 0.8632
Bi: 0.4032 0.8632 0.7050
Bi: 0.8632 0.7050 0.4032
Bi: 0.2950 0.5968 0.1368
Bi: 0.5968 0.1368 0.2950
O: 0.4302 0.1773 0.5683
O: 0.1773 0.5683 0.4302
O: 0.5683 0.4302 0.1773
O: 0.5698 0.8227 0.4317
O: 0.8227 0.4317 0.5698
O: 0.4317 0.5698 0.8227
O: 0.0695 0.3061 0.9604
O: 0.0396 0.9305 0.6939
O: 0.6939 0.0396 0.9305
O: 0.9305 0.6939 0.0396
O: 0.9604 0.0695 0.3061
O: 0.3061 0.9604 0.0695

Calculated values
space-group type = R-3, No. 148
volume = 15.41 A^3/atom

=====

A relaxed Sn2BiO crystal. Source: Alexandria via LeMat-Bulk, functional GGA-PBE.

Lattice parameters (Å, degrees): 5.0912 5.0912 5.0912 60.00 60.00 60.00
Sites, in units of the cell vectors:
Bi: 0.5000 0.5000 0.5000
O: 0.0000 0.0000 0.0000
Sn: 0.2500 0.2500 0.2500
Sn: 0.7500 0.7500 0.7500

Calculated values
space-group type = Fm-3m, No. 225
volume = 23.33 A^3/atom
energy above the lowest structure with this stoichiometry = 451.7 meV/atom

=====

A relaxed Sn2Bi5O12 crystal. Source: Alexandria via LeMat-Bulk, functional GGA-PBE.

Lattice parameters (Å, degrees): 6.3254 7.2299 7.4326 105.99 90.00 115.94
Sites, in units of the cell vectors:
Sn: 0.7538 0.0000 0.0000
Sn: 0.2462 0.0000 0.0000
Bi: 0.2935 0.5870 0.6479
Bi: 0.3121 0.6242 0.1712
Bi: 0.0000 0.0000 0.5000
Bi: 0.6879 0.3758 0.8288
Bi: 0.7065 0.4130 0.3521
O: 0.0000 0.0000 0.1855
O: 0.1091 0.6657 0.9097
O: 0.5566 0.6657 0.9097
O: 0.0881 0.7119 0.4197
O: 0.6237 0.7119 0.4197
O: 0.5027 0.0053 0.8116
O: 0.4973 0.9947 0.1884
O: 0.9119 0.2881 0.5803
O: 0.3763 0.2881 0.5803
O: 0.8909 0.3343 0.0903
O: 0.4434 0.3343 0.0903
O: 0.0000 0.0000 0.8145

Calculated values
space-group type = C2/m, No. 12
volume = 15.31 A^3/atom

=====

A relaxed SnBiO crystal. Source: Alexandria via LeMat-Bulk, functional GGA-PBE.

Lattice parameters (Å, degrees): 5.8149 5.8149 10.4172 57.10 57.10 34.77
Sites, in units of the cell vectors:
Sn: 0.2457 0.2457 0.6387
Sn: 0.5074 0.5074 0.6686
Bi: 0.6115 0.6115 0.2960
Bi: 0.1417 0.1417 0.0114
O: 0.3825 0.3825 0.3987
O: 0.3707 0.3707 0.9087

Calculated values
space-group type = C2/m, No. 12
volume = 27.53 A^3/atom

=====

A relaxed Sn2BiO6 crystal. Source: Alexandria via LeMat-Bulk, functional GGA-PBE.

Lattice parameters (Å, degrees): 4.8394 9.6262 9.6262 120.00 90.00 90.00
Sites, in units of the cell vectors:
Sn: 0.0000 0.0000 0.3402
Sn: 0.0000 0.6598 0.6598
Sn: 0.0000 0.3402 0.0000
Sn: 0.0000 0.0000 0.6598
Sn: 0.0000 0.3402 0.3402
Sn: 0.0000 0.6598 0.0000
Bi: 0.5142 0.6667 0.3333
Bi: 0.4858 0.3333 0.6667
Bi: 0.0000 0.0000 0.0000
O: 0.2344 0.9033 0.4517
O: 0.2344 0.5483 0.0967
O: 0.2344 0.5483 0.4517
O: 0.7656 0.4517 0.5483
O: 0.7656 0.4517 0.9033
O: 0.7656 0.0967 0.5483
O: 0.7742 0.4305 0.2152
O: 0.7742 0.7848 0.5695
O: 0.7742 0.7848 0.2152
O: 0.7860 0.7728 0.8864
O: 0.7860 0.1136 0.2272
O: 0.7860 0.1136 0.8864
O: 0.2140 0.8864 0.1136
O: 0.2140 0.8864 0.7728
O: 0.2140 0.2272 0.1136
O: 0.2258 0.5695 0.7848
O: 0.2258 0.2152 0.4305
O: 0.2258 0.2152 0.7848

Calculated values
space-group type = P-3m1, No. 164
volume = 14.38 A^3/atom

=====

A relaxed SnBi2O2 crystal. Source: Alexandria via LeMat-Bulk, functional GGA-PBE.

Lattice parameters (Å, degrees): 3.8602 3.8602 7.8589 75.78 75.78 90.00
Sites, in units of the cell vectors:
Bi: 0.3394 0.3394 0.3212
Bi: 0.6606 0.6606 0.6788
O: 0.7500 0.2500 0.5000
O: 0.2500 0.7500 0.5000
Sn: 0.0000 0.0000 0.0000

Calculated values
space-group type = I4/mmm, No. 139
volume = 21.96 A^3/atom
energy above the lowest structure with this stoichiometry = 0.0 meV/atom

=====

A relaxed SnBi2O crystal. Source: Alexandria via LeMat-Bulk, functional GGA-PBE.

Lattice parameters (Å, degrees): 5.9632 5.9632 7.9254 67.90 67.90 90.00
Sites, in units of the cell vectors:
Bi: 0.5188 0.1250 0.2500
Bi: 0.2312 0.6250 0.2500
Bi: 0.3750 0.4812 0.7500
Bi: 0.8750 0.7688 0.7500
O: 0.5000 0.5000 0.0000
O: 0.2500 0.7500 0.5000
Sn: 0.0000 0.0000 0.0000
Sn: 0.7500 0.2500 0.5000

Calculated values
space-group type = I-42d, No. 122
volume = 29.83 A^3/atom
energy above the lowest structure with this stoichiometry = 0.0 meV/atom

=====

| no. | E (eV/atom) |
| --- | --- |
| 1 | -4.030 |
| 2 | -5.906 |
| 3 | -5.731 |
| 4 | -6.071 |
| 5 | -4.751 |
| 6 | -5.756 |
| 7 | -4.057 |
| 8 | -5.881 |
| 9 | -4.689 |
| 10 | -5.959 |
| 11 | -4.943 |
| 12 | -4.434 |